(1)
This record from the Alexandria database describes a relaxed structure of MgCrRu2. The functional is PBE.

Formation energy (eV per atom): 0.325

Cell: 6.161 6.161 6.161 Å, 90.00 90.00 90.00°
Space group F-43m (No. 216)
One atom of each set of equivalent atoms:
Mg: 0.000 0.000 0.000 x4
Cr: 0.250 0.250 0.250 x4
Ru: 0.000 0.000 0.500 x4
Ru: 0.250 0.250 0.750 x4

=====

(2)
This record from the Alexandria database describes a relaxed structure of MgCr2Ru2. The functional is PBE.

Energy relative to the lowest polymorph listed for this composition (meV/atom): 27
Formation energy (eV per atom): 0.171

Cell: 7.285 7.285 2.723 Å, 90.00 90.00 90.00°
Space group P4/mbm (No. 127)
One atom of each set of equivalent atoms:
Mg: 0.000 0.000 0.000 x2
Cr: 0.158 0.342 0.500 x4
Ru: 0.134 0.634 0.000 x4

=====

(3)
This record from the Alexandria database describes a relaxed structure of MgCr4Ru. The functional is PBE.

Formation energy (eV per atom): 0.171

Cell: 6.785 6.785 6.785 Å, 90.00 90.00 90.00°
Space group F-43m (No. 216)
One atom of each set of equivalent atoms:
Mg: 0.000 0.000 0.000 x4
Cr: 0.126 0.126 0.374 x16
Ru: 0.250 0.250 0.750 x4

=====

(4)
This record from the Alexandria database describes a relaxed structure of MgCrRu2. The functional is PBE.

Formation energy (eV per atom): 0.425

Cell: 6.863 6.863 5.390 Å, 90.00 90.00 90.00°
Space group I-42d (No. 122)
One atom of each set of equivalent atoms:
Mg: 0.000 0.000 0.000 x4
Cr: 0.000 0.000 0.500 x4
Ru: 0.194 0.250 0.625 x8

=====

(5)
This record from the Alexandria database describes a relaxed structure of MgCr2Ru. The functional is PBE.

Formation energy (eV per atom): 0.209

Cell: 2.950 4.425 8.523 Å, 90.00 90.00 90.00°
Space group Imm2 (No. 44)
One atom of each set of equivalent atoms:
Mg: 0.000 0.000 0.000 x2
Cr: 0.000 0.000 0.492 x2
Cr: 0.000 0.500 0.774 x2
Ru: 0.000 0.500 0.232 x2

=====

(6)
This record from the Alexandria database describes a relaxed structure of MgCr2Ru. The functional is PBE.

Formation energy (eV per atom): 0.377

Cell: 5.036 8.601 2.607 Å, 90.00 107.37 90.00°
Space group C2/m (No. 12)
One atom of each set of equivalent atoms:
Mg: 0.000 0.000 0.000 x2
Cr: 0.250 0.250 0.500 x4
Ru: 0.000 0.500 0.000 x2

=====

(7)
This record from the Alexandria database describes a relaxed structure of MgTaCrRu. The functional is PBE.

Formation energy (eV per atom): -0.051

Cell: 6.298 6.298 6.298 Å, 90.00 90.00 90.00°
Space group F-43m (No. 216)
One atom of each set of equivalent atoms:
Mg: 0.000 0.000 0.000 x4
Ta: 0.000 0.000 0.500 x4
Cr: 0.250 0.250 0.750 x4
Ru: 0.250 0.250 0.250 x4

=====

(8)
This record from the Alexandria database describes a relaxed structure of MgCr2TeRu. The functional is PBE.

Energy (eV per atom): -5.278

Cell: 4.837 4.837 4.597 Å, 90.00 90.00 90.00°
Space group P4/mmm (No. 123)
One atom of each set of equivalent atoms:
Mg: 0.000 0.000 0.000 x1
Cr: 0.000 0.500 0.000 x2
Te: 0.500 0.500 0.500 x1
Ru: 0.000 0.000 0.500 x1

=====

(9)
This record from the Alexandria database describes a relaxed structure of MgZnCrRu. The functional is PBE.

Formation energy (eV per atom): 0.103

Cell: 6.065 6.065 6.065 Å, 90.00 90.00 90.00°
Space group F-43m (No. 216)
One atom of each set of equivalent atoms:
Mg: 0.000 0.000 0.000 x4
Zn: 0.250 0.250 0.750 x4
Cr: 0.000 0.000 0.500 x4
Ru: 0.250 0.250 0.250 x4

=====

(10)
This record from the Alexandria database describes a relaxed structure of MgZnCrRu2. The functional is PBE.

Formation energy (eV per atom): 1.500

Cell: 4.536 4.536 4.335 Å, 90.00 90.00 90.00°
Space group P4/mmm (No. 123)
One atom of each set of equivalent atoms:
Mg: 0.000 0.000 0.000 x1
Zn: 0.000 0.000 0.500 x1
Cr: 0.500 0.500 0.000 x1
Ru: 0.000 0.500 0.500 x2

=====

(11)
This record from the Alexandria database describes a relaxed structure of Mg6CrS8. The functional is PBE.

Energy (eV per atom): -4.694

Cell: 10.362 10.362 10.362 Å, 90.00 90.00 90.00°
Space group Fm-3m (No. 225)
One atom of each set of equivalent atoms:
Mg: 0.000 0.250 0.250 x24
Cr: 0.000 0.000 0.000 x4
S: 0.000 0.000 0.234 x24
S: 0.250 0.250 0.250 x8

=====

(12)
This record from the Alexandria database describes a relaxed structure of MgCrS2. The functional is PBE.

Energy (eV per atom): -5.673

Cell: 5.582 5.582 11.296 Å, 90.00 90.00 90.00°
Space group I-42d (No. 122)
One atom of each set of equivalent atoms:
Mg: 0.000 0.000 0.000 x4
Cr: 0.000 0.000 0.500 x4
S: 0.238 0.250 0.625 x8